Record 1
Compound: Ac7Co2Pd2
Source: the Alexandria database
Functional: PBE
Structure: optimized geometry

Unit cell a=7.739 b=7.739 c=7.695 alpha=93.23 beta=93.23 gamma=109.82
Positions (direct):
Ac  0.000  0.000  0.000
Ac  0.048  0.434  0.738
Ac  0.419  0.419  0.245
Ac  0.434  0.048  0.738
Ac  0.566  0.952  0.262
Ac  0.581  0.581  0.755
Ac  0.952  0.566  0.262
Co  0.276  0.276  0.898
Co  0.724  0.724  0.102
Pd  0.311  0.689  0.500
Pd  0.689  0.311  0.500

## Properties
Density = 7.39 g/cm³
Energy relative to the elements = -0.07 eV/atom
Electronic total energy = -54.143 eV/cell

---

Record 2
Compound: Ac8CoPd3
Source: the Alexandria database
Functional: PBE
Structure: optimized geometry

Unit cell a=8.427 b=8.427 c=8.427 alpha=63.62 beta=63.62 gamma=63.62
Positions (direct):
Ac  0.246  0.246  0.246
Ac  0.263  0.263  0.736
Ac  0.263  0.736  0.263
Ac  0.264  0.737  0.737
Ac  0.736  0.263  0.263
Ac  0.737  0.264  0.737
Ac  0.737  0.737  0.264
Ac  0.754  0.754  0.754
Co  0.500  0.500  0.500
Pd  0.000  0.000  0.500
Pd  0.000  0.500  0.000
Pd  0.500  0.000  0.000

## Properties
Density = 7.97 g/cm³
Energy relative to the elements = -0.38 eV/atom
Electronic total energy = -60.120 eV/cell

---

Record 3
Compound: Ac12Co2Pd5
Source: the Alexandria database
Functional: PBE
Structure: optimized geometry

Unit cell a=9.702 b=9.702 c=9.577 alpha=104.06 beta=104.06 gamma=49.84
Positions (direct):
Ac  0.004  0.004  0.287
Ac  0.069  0.590  0.401
Ac  0.105  0.602  0.939
Ac  0.398  0.895  0.061
Ac  0.410  0.931  0.599
Ac  0.488  0.488  0.691
Ac  0.512  0.512  0.309
Ac  0.590  0.069  0.401
Ac  0.602  0.105  0.939
Ac  0.895  0.398  0.061
Ac  0.931  0.410  0.599
Ac  0.996  0.996  0.713
Co  0.243  0.757  0.500
Co  0.757  0.243  0.500
Pd  0.188  0.188  0.336
Pd  0.205  0.205  0.862
Pd  0.500  0.500  0.000
Pd  0.795  0.795  0.138
Pd  0.812  0.812  0.664

## Properties
Density = 8.44 g/cm³
Energy relative to the elements = -0.40 eV/atom
Electronic total energy = -96.995 eV/cell

---

Record 4
Compound: Ac12Co6Pd
Source: the Alexandria database
Functional: PBE
Structure: optimized geometry

Unit cell a=9.119 b=9.119 c=9.119 alpha=109.47 beta=109.47 gamma=109.47
Positions (direct):
Ac  0.122  0.813  0.309
Ac  0.187  0.309  0.496
Ac  0.187  0.691  0.878
Ac  0.309  0.122  0.813
Ac  0.309  0.496  0.187
Ac  0.496  0.187  0.309
Ac  0.504  0.813  0.691
Ac  0.691  0.504  0.813
Ac  0.691  0.878  0.187
Ac  0.813  0.309  0.122
Ac  0.813  0.691  0.504
Ac  0.878  0.187  0.691
Co  0.110  0.610  0.500
Co  0.390  0.500  0.890
Co  0.500  0.110  0.610
Co  0.500  0.890  0.390
Co  0.610  0.500  0.110
Co  0.890  0.390  0.500
Pd  0.000  0.000  0.000

## Properties
Density = 9.06 g/cm³
Energy relative to the elements = -0.07 eV/atom
Electronic total energy = -98.394 eV/cell

---

Record 5
Compound: Ac2CoPd
Source: the Alexandria database
Functional: PBE
Structure: optimized geometry

Unit cell a=3.709 b=3.709 c=7.483 alpha=90.00 beta=90.00 gamma=90.00
Positions (direct):
Ac  0.000  0.000  0.237
Ac  0.000  0.000  0.763
Co  0.500  0.500  0.000
Pd  0.500  0.500  0.500

## Properties
Density = 9.99 g/cm³
Energy relative to the elements = -0.25 eV/atom
Electronic total energy = -21.511 eV/cell

---

Record 6
Compound: Ac6CoPd2
Source: the Alexandria database
Functional: PBE
Structure: optimized geometry

Unit cell a=7.168 b=7.885 c=12.750 alpha=90.00 beta=120.61 gamma=90.00
Positions (direct):
Ac  0.094  0.044  0.247
Ac  0.094  0.456  0.747
Ac  0.241  0.684  0.074
Ac  0.241  0.816  0.574
Ac  0.385  0.180  0.065
Ac  0.385  0.320  0.565
Ac  0.615  0.680  0.435
Ac  0.615  0.820  0.935
Ac  0.759  0.184  0.426
Ac  0.759  0.316  0.926
Ac  0.906  0.544  0.253
Ac  0.906  0.956  0.753
Co  0.000  0.000  0.000
Co  0.000  0.500  0.500
Pd  0.328  0.114  0.770
Pd  0.328  0.386  0.270
Pd  0.672  0.614  0.730
Pd  0.672  0.886  0.230

## Properties
Density = 8.75 g/cm³
Energy relative to the elements = -0.39 eV/atom
Electronic total energy = -91.251 eV/cell

---

Record 7
Compound: Ac6CoPd
Source: the Alexandria database
Functional: PBE
Structure: optimized geometry

Unit cell a=9.519 b=9.519 c=11.069 alpha=124.67 beta=124.67 gamma=71.14
Positions (direct):
Ac  0.130  0.506  0.806
Ac  0.173  0.808  0.677
Ac  0.192  0.827  0.323
Ac  0.305  0.305  0.484
Ac  0.324  0.324  0.139
Ac  0.494  0.870  0.194
Ac  0.506  0.130  0.806
Ac  0.676  0.676  0.861
Ac  0.695  0.695  0.516
Ac  0.808  0.173  0.677
Ac  0.827  0.192  0.323
Ac  0.870  0.494  0.194
Co  0.000  0.500  0.500
Co  0.500  0.000  0.500
Pd  0.000  0.500  0.000
Pd  0.500  0.000  0.000

## Properties
Density = 7.48 g/cm³
Energy relative to the elements = -0.04 eV/atom
Electronic total energy = -74.575 eV/cell

---

Record 8
Compound: Ac19Co6Pd4
Source: the Alexandria database
Functional: PBE
Structure: optimized geometry

Unit cell a=11.015 b=11.015 c=11.015 alpha=109.47 beta=109.47 gamma=109.47
Positions (direct):
Ac  0.000  0.000  0.000
Ac  0.000  0.308  0.308
Ac  0.000  0.692  0.692
Ac  0.043  0.764  0.380
Ac  0.236  0.278  0.616
Ac  0.278  0.616  0.236
Ac  0.308  0.000  0.308
Ac  0.308  0.308  0.000
Ac  0.338  0.722  0.957
Ac  0.380  0.043  0.764
Ac  0.384  0.662  0.620
Ac  0.616  0.236  0.278
Ac  0.620  0.384  0.662
Ac  0.662  0.620  0.384
Ac  0.692  0.000  0.692
Ac  0.692  0.692  0.000
Ac  0.722  0.957  0.338
Ac  0.764  0.380  0.043
Ac  0.957  0.338  0.722
Co  0.132  0.500  0.632
Co  0.368  0.868  0.500
Co  0.500  0.368  0.868
Co  0.500  0.632  0.132
Co  0.632  0.132  0.500
Co  0.868  0.500  0.368
Pd  0.000  0.000  0.280
Pd  0.000  0.280  0.000
Pd  0.280  0.000  0.000
Pd  0.720  0.720  0.720

## Properties
Density = 8.22 g/cm³
Energy relative to the elements = -0.07 eV/atom
Electronic total energy = -143.511 eV/cell